Entry 1:
AcPu2TeO4 | GGA-PBE | relaxed

Properties
DOS(E_F): 12.284 states/eV/cell
M_tot: 1.12 μB/atom
Raw formation energy: -2.8018 eV/atom

```
8
Lattice="-3.844 0.386 -1.113 -0.232 -3.973 -0.574 -2.691 -1.130 8.907" Properties=species:S:1:pos:R:3 pbc="T T T"
O -4.152 -0.743 6.823
O -0.578 -2.180 1.241
O -2.346 -2.922 7.092
O -2.384 -0.001 0.972
Ac 0.000 0.000 0.000
Te -1.346 -0.565 4.454
Pu -2.793 -2.110 1.654
Pu -3.975 -2.606 5.566
```

=====

Entry 2:
PrDyErAl | GGA-PBE | relaxed

Properties
DOS(E_F): 3.304 states/eV/cell
Energy of formation: -195 meV per atom
M_tot: 0.00 μB/atom

```
4
Lattice="-1.687 2.398 1.979 -3.109 -1.276 -1.104 -0.088 -5.830 6.989" Properties=species:S:1:pos:R:3 pbc="T T T"
Er -2.430 -1.559 2.980
Pr -0.006 -0.428 0.513
Al -0.050 -3.318 3.978
Dy -2.467 -3.977 5.879
```

=====

Entry 3:
LiAlGe | GGA-PBE | relaxed

Properties
DOS(E_F): 3.366 states/eV/cell
Energy of formation: 44 meV per atom
M_tot: 0.00 μB/atom

```
12
Lattice="5.025 0.000 0.000 0.000 5.025 0.000 0.000 0.000 8.024" Properties=species:S:1:pos:R:3 pbc="T T T"
Al 1.290 3.735 5.015
Al 3.735 3.735 3.009
Al 3.735 1.290 1.003
Al 1.290 1.290 7.021
Ge 2.512 3.847 0.000
Ge 3.847 2.512 6.018
Ge 2.512 1.178 4.012
Ge 1.178 2.512 2.006
Li 0.000 3.811 0.000
Li 0.000 1.214 4.012
Li 1.214 0.000 2.006
Li 3.811 0.000 6.018
```

=====

Entry 4:
HfTiRh5 | GGA-PBE | relaxed

Properties
DOS(E_F): 6.722 states/eV/cell
Energy of formation: -467 meV per atom
M_tot: 0.00 μB/atom

```
7
Lattice="-0.373 -3.217 2.489 3.407 -1.612 -1.573 3.649 3.175 4.651" Properties=species:S:1:pos:R:3 pbc="T T T"
Rh 0.607 -0.918 2.256
Rh 2.670 0.876 4.884
Rh 3.342 -0.827 2.783
Rh 2.497 -0.116 0.224
Rh 4.560 1.679 2.853
Hf 1.825 1.587 2.325
Ti 1.517 -2.415 0.458
```

=====

Entry 5:
AlHgMo2 | GGA-PBE | relaxed

Properties
DOS(E_F): 1.911 states/eV/cell
Energy of formation: 209 meV per atom
M_tot: 0.00 μB/atom

```
4
Lattice="4.488 0.000 0.000 0.000 2.848 -0.009 0.000 0.644 5.281" Properties=species:S:1:pos:R:3 pbc="T T T"
Hg 2.244 2.292 3.952
Mo 2.244 0.795 1.337
Mo 0.000 0.171 0.100
Al 0.000 1.980 2.520
```

=====

Entry 6:
TbTmP2Rh5 | GGA-PBE | relaxed

Properties
DOS(E_F): 3.894 states/eV/cell
Energy of formation: -752 meV per atom
M_tot: 0.00 μB/atom

```
9
Lattice="-2.256 -1.900 -2.739 2.244 -3.311 0.447 -6.530 -3.382 7.724" Properties=species:S:1:pos:R:3 pbc="T T T"
Rh -4.149 -4.386 6.459
Rh -2.387 -1.602 0.119
Rh -0.136 -2.308 1.713
Rh -6.399 -3.680 4.866
Rh -3.271 -4.297 2.716
P -4.655 -5.014 4.354
P -1.886 -3.579 1.079
Tb -3.265 -1.691 3.862
Tm 0.000 0.000 0.000
```

=====

Entry 7:
TbPmPdAu | GGA-PBE | relaxed

Properties
DOS(E_F): 2.361 states/eV/cell
Energy of formation: -858 meV per atom
M_tot: 0.00 μB/atom

```
4
Lattice="-0.051 0.924 -3.713 -4.693 -0.556 -0.074 -0.610 4.728 3.157" Properties=species:S:1:pos:R:3 pbc="T T T"
Pm -0.177 1.447 0.363
Au -2.478 1.053 -1.676
Pd -0.525 4.290 1.075
Tb -2.834 3.959 -0.948
```

=====

Entry 8:
KZrTlCl6 | GGA-PBE | relaxed

Properties
DOS(E_F): 0.000 states/eV/cell
M_tot: 0.00 μB/atom
Raw formation energy: -1.7057 eV/atom

```
18
Lattice="7.588 0.000 0.000 -3.794 6.571 0.000 0.000 0.000 12.433" Properties=species:S:1:pos:R:3 pbc="T T T"
Cl 5.835 2.196 1.667
Cl 1.015 6.151 10.766
Cl 2.041 4.375 7.884
Cl -2.041 4.375 10.766
Cl 2.769 3.955 1.667
Cl 2.779 0.420 1.667
Cl 1.753 2.196 4.549
Cl 4.819 3.955 4.549
Cl -1.025 2.616 7.884
Cl -1.015 6.151 7.884
Cl 1.025 2.616 10.766
Cl 4.809 0.420 4.549
Zr 0.000 4.381 9.325
Zr 3.794 2.190 3.108
Tl 0.000 0.000 6.217
Tl 0.000 0.000 0.000
K 3.794 2.190 9.325
K 0.000 4.381 3.108
```

=====

Entry 9:
HgAsPdS2 | GGA-PBE | relaxed

Properties
DOS(E_F): 5.150 states/eV/cell
M_tot: 0.00 μB/atom
Raw formation energy: 0.5061 eV/atom

```
5
Lattice="-4.025 -2.201 -0.927 0.120 -2.165 4.618 -2.386 3.622 1.760" Properties=species:S:1:pos:R:3 pbc="T T T"
S -2.013 -1.100 -0.464
S -1.193 1.811 0.880
Hg -3.145 -0.372 2.725
Pd 0.000 0.000 0.000
As 0.060 -1.082 2.309
```

=====

Entry 10:
Al4Cu7Au3 | GGA-PBE | relaxed

Properties
DOS(E_F): 3.405 states/eV/cell
Energy of formation: -189 meV per atom
M_tot: 0.00 μB/atom

```
14
Lattice="3.952 0.000 0.997 1.725 6.106 1.493 0.056 -1.136 8.112" Properties=species:S:1:pos:R:3 pbc="T T T"
Cu 4.043 1.638 8.971
Cu 2.933 0.476 5.037
Cu 3.582 4.757 2.466
Cu 2.800 4.494 5.564
Cu 0.000 0.000 0.000
Cu 2.152 0.213 8.135
Cu 1.691 3.332 1.630
Al 0.583 0.085 6.020
Al 5.150 4.885 4.581
Al 3.331 2.489 3.459
Al 2.402 2.481 7.142
Au 4.293 4.296 7.977
Au 1.440 0.674 2.624
Au 0.890 2.485 4.802
```

=====

Entry 11:
Ba2IrW | GGA-PBE | relaxed

Properties
DOS(E_F): 4.390 states/eV/cell
Energy of formation: 444 meV per atom
M_tot: 0.00 μB/atom

```
4
Lattice="3.685 0.000 0.000 0.000 3.521 0.126 0.000 4.849 10.007" Properties=species:S:1:pos:R:3 pbc="T T T"
Ba 1.842 2.687 3.331
Ba 0.000 7.768 9.370
Ir 0.000 4.364 6.060
W 1.842 6.107 6.571
```

=====

Entry 12:
MnCr2CS | GGA-PBE | relaxed

Properties
DOS(E_F): 4.893 states/eV/cell
M_tot: 0.75 μB/atom
Raw formation energy: 0.2905 eV/atom

```
5
Lattice="3.888 0.000 0.000 0.000 3.778 0.000 0.000 0.000 3.888" Properties=species:S:1:pos:R:3 pbc="T T T"
Cr 1.944 0.000 0.000
Cr 0.000 0.000 1.944
S 1.944 1.889 1.944
C 0.000 0.000 0.000
Mn 0.000 1.889 0.000
```

=====

Entry 13:
ScCuNiRu | GGA-PBE | relaxed

Properties
DOS(E_F): 6.945 states/eV/cell
Energy of formation: -95 meV per atom
M_tot: 0.11 μB/atom

```
4
Lattice="4.321 0.000 0.000 2.161 3.742 0.000 2.161 1.247 3.528" Properties=species:S:1:pos:R:3 pbc="T T T"
Sc 2.161 1.247 0.882
Cu 0.000 0.000 0.000
Ru 6.482 3.742 2.646
Ni 4.321 2.495 1.764
```

=====

Entry 14:
ScUCdO6 | GGA-PBE | relaxed

Properties
DOS(E_F): 8.603 states/eV/cell
M_tot: 0.05 μB/atom
Raw formation energy: -2.4601 eV/atom

```
9
Lattice="-1.944 0.598 -4.225 -2.438 -5.024 0.411 -2.656 4.562 1.868" Properties=species:S:1:pos:R:3 pbc="T T T"
O -2.269 -3.229 -0.842
O -2.254 -1.123 -2.896
O -4.622 -3.093 -2.086
O -4.716 -1.695 0.501
O -4.886 0.030 -1.522
O -2.148 -0.070 -0.451
Sc -3.482 -1.530 -1.216
Cd -2.583 1.366 1.382
U -0.972 0.299 -2.112
```

=====

Entry 15:
Fe4CoH | GGA-PBE | relaxed

Properties
DOS(E_F): 7.629 states/eV/cell
Raw total energy: -7.30 eV/atom
M_tot: 1.92 μB/atom

```
12
Lattice="-3.077 -3.253 -1.059 -0.371 -1.295 5.054 -5.515 0.826 3.491" Properties=species:S:1:pos:R:3 pbc="T T T"
Co -0.579 -1.289 3.687
Co -8.384 -2.432 3.799
Fe -4.567 -1.448 5.563
Fe -2.064 -1.194 1.680
Fe -6.898 -2.527 5.806
Fe -6.095 -1.226 3.492
Fe -2.868 -2.495 3.994
Fe -4.396 -2.273 1.924
Fe -5.246 -3.623 4.222
Fe -3.717 -0.098 3.264
H -4.481 -1.861 3.743
H -2.757 0.413 1.746
```

=====

Entry 16:
LiPmMg2 | GGA-PBE | relaxed

Properties
DOS(E_F): 3.435 states/eV/cell
Energy of formation: 43 meV per atom
M_tot: 0.00 μB/atom

```
4
Lattice="-2.059 -1.723 -1.942 1.068 -1.190 -2.903 2.742 -10.168 3.287" Properties=species:S:1:pos:R:3 pbc="T T T"
Mg 0.378 -3.093 -0.484
Mg 2.034 -8.049 2.157
Li 2.078 -12.103 0.053
Pm 0.877 -6.546 -0.776
```

=====

Entry 17:
MgZnHg4 | GGA-PBE | relaxed

Properties
DOS(E_F): 3.038 states/eV/cell
Energy of formation: 200 meV per atom
M_tot: 0.00 μB/atom

```
6
Lattice="0.000 4.282 4.282 4.282 0.000 4.282 4.282 4.282 0.000" Properties=species:S:1:pos:R:3 pbc="T T T"
Mg 6.424 6.424 6.424
Hg 5.353 3.212 5.353
Hg 5.353 5.353 3.212
Hg 3.212 3.212 3.212
Hg 3.212 5.353 5.353
Zn 0.000 0.000 0.000
```

=====

Entry 18:
K2InCo | GGA-PBE | relaxed

Properties
DOS(E_F): 4.862 states/eV/cell
Energy of formation: 736 meV per atom
M_tot: 0.41 μB/atom

```
4
Lattice="-2.496 -2.131 -0.148 2.145 -2.410 -0.619 0.996 -1.922 10.925" Properties=species:S:1:pos:R:3 pbc="T T T"
Co 0.074 -2.751 2.348
In 0.571 -3.712 7.810
K 0.029 -0.055 0.314
K 0.469 -0.906 5.148
```

=====

Entry 19:
Tm2BeSi3Pt4 | GGA-PBE | relaxed

Properties
DOS(E_F): 4.786 states/eV/cell
M_tot: 0.00 μB/atom
Raw formation energy: -1.0520 eV/atom

```
10
Lattice="-2.301 -0.375 -3.375 -3.328 -0.560 2.332 -1.632 9.801 0.023" Properties=species:S:1:pos:R:3 pbc="T T T"
Si -0.816 4.900 0.012
Si -2.556 8.251 -1.667
Si -1.891 1.082 1.169
Pt 0.000 0.000 0.000
Pt -2.815 -0.468 -0.522
Pt -2.172 5.943 -1.673
Pt -2.275 3.390 1.174
Be -3.631 4.433 -0.510
Tm -1.577 2.373 -1.681
Tm -2.870 6.960 1.183
```

=====

Entry 20:
La14HoMg | GGA-PBE | relaxed

Properties
DOS(E_F): 21.090 states/eV/cell
Energy of formation: -5 meV per atom
M_tot: 0.00 μB/atom

```
16
Lattice="7.283 0.976 0.000 -0.979 7.283 0.000 0.000 0.000 10.499" Properties=species:S:1:pos:R:3 pbc="T T T"
La 4.169 3.353 7.909
La 6.250 1.764 5.249
La 2.120 4.917 5.249
La 3.687 6.970 2.590
La 4.169 3.353 2.590
La 0.070 6.482 7.908
La 2.609 1.276 5.249
La 0.553 2.865 2.590
La 5.761 5.405 5.249
La 3.687 6.970 7.909
La 0.553 2.865 7.909
La 2.609 1.277 0.000
La 0.070 6.482 2.591
La 5.761 5.405 0.000
Ho 6.251 1.764 0.000
Mg 2.119 4.918 0.000
```

=====

Entry 21:
Ca3HfCu | GGA-PBE | relaxed

Properties
DOS(E_F): 10.720 states/eV/cell
Energy of formation: 570 meV per atom
M_tot: 0.46 μB/atom

```
5
Lattice="-3.989 -2.211 -2.993 -2.501 -1.656 4.556 -2.755 4.704 0.198" Properties=species:S:1:pos:R:3 pbc="T T T"
Cu 0.000 0.000 0.000
Ca -1.250 -0.828 2.278
Ca -1.378 2.352 0.099
Ca -1.994 -1.105 -1.496
Hf -4.622 0.418 0.881
```

=====

Entry 22:
PRu2Br | GGA-PBE | relaxed

Properties
DOS(E_F): 2.370 states/eV/cell
M_tot: 0.00 μB/atom
Raw formation energy: 0.5505 eV/atom

```
4
Lattice="2.554 2.144 2.814 -1.128 3.987 1.369 -1.315 0.602 4.117" Properties=species:S:1:pos:R:3 pbc="T T T"
Ru 0.028 1.683 2.075
Ru 0.083 5.050 6.225
P 0.000 0.000 0.000
Br 0.056 3.367 4.150
```

=====

Entry 23:
DyHo2Tm3 | GGA-PBE | relaxed

Properties
DOS(E_F): 19.350 states/eV/cell
Energy of formation: 121 meV per atom
M_tot: 0.00 μB/atom

```
12
Lattice="-2.259 1.542 2.113 -7.364 -0.066 -4.997 -5.862 -10.450 4.185" Properties=species:S:1:pos:R:3 pbc="T T T"
Ho -4.934 -0.970 -1.740
Ho -9.756 -4.422 -1.550
Ho -10.551 -8.004 3.041
Ho -5.729 -4.552 2.850
Dy -7.195 -2.885 0.067
Dy -8.290 -6.089 1.234
Tm -2.326 0.341 0.090
Tm -3.678 -2.673 0.845
Tm -11.807 -6.301 0.456
Tm -5.681 -8.188 2.728
Tm -13.158 -9.315 1.210
Tm -9.804 -0.786 -1.427
```

=====

Entry 24:
DyYV | GGA-PBE | relaxed

Properties
DOS(E_F): 8.350 states/eV/cell
Energy of formation: 393 meV per atom
M_tot: 0.81 μB/atom

```
6
Lattice="5.300 0.000 0.000 -2.650 5.499 -0.407 0.000 -3.550 5.558" Properties=species:S:1:pos:R:3 pbc="T T T"
V 0.000 -0.287 4.701
V 2.650 -1.024 4.242
Y 0.000 1.939 2.205
Y 2.650 2.089 4.264
Dy 2.650 3.872 1.488
Dy 2.650 0.282 1.158
```

=====

Entry 25:
Sc2BeRe | GGA-PBE | relaxed

Properties
DOS(E_F): 3.436 states/eV/cell
Energy of formation: 101 meV per atom
M_tot: 0.00 μB/atom

```
4
Lattice="-0.703 4.430 2.195 -4.856 0.826 0.821 3.002 -3.854 1.038" Properties=species:S:1:pos:R:3 pbc="T T T"
Sc -2.317 -0.200 1.683
Sc 0.000 0.000 0.000
Re -0.240 1.602 2.370
Be -2.779 2.628 1.508
```